Entry 1:
CePm2Sm6Y | the Alexandria database | PBE | optimized geometry; E = -4.78 eV/atom; energy relative to the elements = 0.243 eV/atom; V = 342.27 Å³/cell
1.0
5.755 -3.456 0.000
5.755 3.456 0.000
-2.459 0.000 8.603
Ce Pm Sm Y
1 2 6 1
Direct
0.000 0.000 0.000 Ce
0.414 0.414 0.832 Pm
0.586 0.586 0.168 Pm
0.083 0.559 0.200 Sm
0.123 0.123 0.415 Sm
0.441 0.917 0.800 Sm
0.559 0.083 0.200 Sm
0.877 0.877 0.585 Sm
0.917 0.441 0.800 Sm
0.500 0.500 0.500 Y

***

Entry 2:
CePm3Sm2Y6 | the Alexandria database | PBE | optimized geometry; E = -5.67 eV/atom; energy relative to the elements = 0.032 eV/atom; V = 395.15 Å³/cell
1.0
3.127 -5.415 0.000
3.127 5.415 0.000
-2.080 0.000 11.671
Ce Pm Sm Y
1 3 2 6
Direct
0.000 0.000 0.000 Ce
0.167 0.833 0.500 Pm
0.500 0.500 0.500 Pm
0.833 0.167 0.500 Pm
0.333 0.667 0.000 Sm
0.667 0.333 0.000 Sm
0.083 0.414 0.249 Y
0.248 0.248 0.751 Y
0.414 0.083 0.249 Y
0.586 0.917 0.751 Y
0.752 0.752 0.249 Y
0.917 0.586 0.751 Y

***

Entry 3:
CePmSmZn | the Alexandria database | PBE | optimized geometry; E = -4.07 eV/atom; energy relative to the elements = 0.095 eV/atom; V = 111.24 Å³/cell
1.0
0.000 3.817 3.817
3.817 0.000 3.817
3.817 3.817 0.000
Ce Pm Sm Zn
1 1 1 1
Direct
0.000 0.000 0.000 Ce
0.750 0.750 0.750 Pm
0.500 0.500 0.500 Sm
0.250 0.250 0.250 Zn